w:
Entry from Alexandria: a geometry-optimized LaC structure (PBE).

extended XYZ file:
```
16
Lattice="-8.562 -2.058 -4.771 5.195 -3.258 -7.918 0.034 -4.134 1.723" Properties=species:S:1:pos:R:3 pbc="T T T"
La -5.434 -3.885 -3.394
C 0.216 -1.629 -3.913
La 1.428 -2.418 -5.829
C 0.957 -3.370 -8.106
La -4.795 -2.898 -6.860
La 0.585 -3.260 -2.012
C -3.583 -3.687 -8.776
La -3.918 -6.190 -8.954
La -2.251 -1.465 -3.471
C -5.905 -4.838 -5.670
La -1.115 -3.851 -9.218
C -4.324 -1.946 -4.584
C -1.883 -3.096 -1.570
C 2.572 -4.613 -5.296
La 2.101 -5.565 -7.572
C -1.450 -6.354 -9.396
```

Calculated values
**Volume**: 28.08 Å³ per atom

***

x:
Entry from Alexandria: a geometry-optimized LaC structure (PBE).

extended XYZ file:
```
12
Lattice="9.574 0.000 0.000 -4.787 8.292 0.000 0.000 0.000 4.270" Properties=species:S:1:pos:R:3 pbc="T T T"
La 1.169 3.269 3.203
C -1.261 3.312 3.203
La 3.618 5.023 1.068
C 6.076 0.564 1.068
C -1.289 7.728 3.203
La 3.415 0.622 1.068
C 6.048 4.980 1.068
La 7.328 2.647 1.068
C 2.549 5.544 3.203
La 1.372 7.670 3.203
C 2.238 2.748 1.068
La -2.541 5.645 3.203
```

Calculated values
**Volume**: 28.25 Å³ per atom

***

y:
Entry from Alexandria: a geometry-optimized LaC structure (PBE).

extended XYZ file:
```
4
Lattice="-2.933 1.273 2.585 -2.637 0.300 -3.140 -1.352 -4.541 0.702" Properties=species:S:1:pos:R:3 pbc="T T T"
C -3.461 -1.484 0.073
La -0.676 -2.270 0.351
C 0.000 0.000 0.000
La -2.785 0.786 -0.278
```

Calculated values
**Volume**: 20.24 Å³ per atom

***

z:
Entry from Alexandria: a geometry-optimized LaC structure (PBE).

extended XYZ file:
```
12
Lattice="10.823 0.000 0.000 0.000 5.169 0.000 0.000 0.000 5.057" Properties=species:S:1:pos:R:3 pbc="T T T"
C 9.475 0.046 2.529
C 6.760 5.123 0.000
La 1.723 0.758 0.000
La 0.000 2.977 2.529
C 5.411 4.833 0.000
La 9.100 0.758 0.000
C 4.063 5.123 0.000
La 3.688 4.411 2.529
La 5.411 2.192 0.000
La 7.134 4.411 2.529
C 1.348 0.046 2.529
C 0.000 0.335 2.529
```

Calculated values
**Volume**: 23.58 Å³ per atom

***

Stability summary: most stable z, least stable w.

***

w:
Entry from Alexandria: a geometry-optimized LaC structure (PBE).

extended XYZ file:
```
4
Lattice="-1.904 3.082 1.581 -1.229 -2.288 2.980 5.513 0.753 0.229" Properties=species:S:1:pos:R:3 pbc="T T T"
C 3.387 0.987 2.154
La 1.158 1.191 4.013
C -1.006 0.561 2.637
La 1.223 0.356 0.778
```

Calculated values
**Volume**: 18.81 Å³ per atom

***

x:
Entry from Alexandria: a geometry-optimized LaC structure (PBE).

extended XYZ file:
```
8
Lattice="5.771 0.000 0.000 0.000 5.771 0.000 0.000 0.000 5.771" Properties=species:S:1:pos:R:3 pbc="T T T"
C 1.443 1.443 1.443
La 0.000 0.000 0.000
C 1.443 4.328 4.328
La 0.000 2.886 2.886
C 4.328 4.328 1.443
La 2.886 2.886 0.000
C 4.328 1.443 4.328
La 2.886 0.000 2.886
```

Calculated values
**Volume**: 24.03 Å³ per atom

***

y:
Entry from Alexandria: a geometry-optimized LaC structure (PBE).

extended XYZ file:
```
6
Lattice="5.089 0.000 0.000 -2.545 4.408 0.000 0.000 0.000 4.817" Properties=species:S:1:pos:R:3 pbc="T T T"
C 0.000 0.000 2.409
C 2.545 1.469 4.014
La 2.545 1.469 1.606
La 0.000 2.938 3.211
La 0.000 0.000 0.000
C 0.000 2.938 0.803
```

Calculated values
**Volume**: 18.01 Å³ per atom

***

Stability summary: most stable w, least stable y.

***

w:
Entry from Alexandria: a geometry-optimized LaC structure (PBE).

extended XYZ file:
```
16
Lattice="9.793 0.000 0.000 0.000 4.900 0.000 0.000 0.000 6.845" Properties=species:S:1:pos:R:3 pbc="T T T"
C 0.871 1.225 2.970
C 2.863 3.675 0.229
La 4.255 1.225 4.974
C 6.930 1.225 6.615
La 8.121 1.225 2.132
C 4.026 3.675 6.392
C 5.768 1.225 0.453
La 1.673 3.675 4.712
La 5.538 3.675 1.871
La 6.569 3.675 5.555
C 2.034 1.225 3.652
La 0.641 3.675 1.552
La 9.152 1.225 5.293
C 8.922 3.675 3.875
C 7.760 3.675 3.193
La 3.224 1.225 1.290
```

Calculated values
**Volume**: 20.53 Å³ per atom

***

x:
Entry from Alexandria: a geometry-optimized LaC structure (PBE).

extended XYZ file:
```
4
Lattice="-3.636 1.394 0.138 -1.475 -3.745 -1.029 0.716 -1.706 5.181" Properties=species:S:1:pos:R:3 pbc="T T T"
C -3.618 -1.922 3.791
La -3.442 -1.282 1.212
La -1.066 -0.729 4.181
C -1.519 -1.581 -0.456
```

Calculated values
**Volume**: 21.82 Å³ per atom

***

Stability summary: most stable x, least stable w.

***

w:
Entry from Alexandria: a geometry-optimized LaC2 structure (PBE).

extended XYZ file:
```
3
Lattice="-1.183 3.649 -1.609 -2.358 -2.112 2.699 -0.109 2.805 3.070" Properties=species:S:1:pos:R:3 pbc="T T T"
La -1.325 0.146 2.870
C -1.131 3.337 -1.001
C -0.343 2.717 2.432
```

Calculated values
**Volume**: 17.66 Å³ per atom

***

x:
Entry from Alexandria: a geometry-optimized LaC2 structure (PBE).

extended XYZ file:
```
3
Lattice="4.317 -0.017 0.000 0.703 4.259 0.000 -2.510 -2.121 2.791" Properties=species:S:1:pos:R:3 pbc="T T T"
C -0.495 -0.419 2.790
La 0.000 0.000 0.000
C 3.005 2.540 0.000
```

Calculated values
**Volume**: 17.11 Å³ per atom

***

y:
Entry from Alexandria: a geometry-optimized LaC2 structure (PBE).

extended XYZ file:
```
6
Lattice="4.067 -0.078 -0.095 1.748 3.673 -0.095 1.749 1.081 6.807" Properties=species:S:1:pos:R:3 pbc="T T T"
C 2.188 2.055 3.008
C 3.873 3.097 0.206
C 3.691 1.579 6.411
La 4.045 0.935 1.607
C 5.376 2.620 3.610
La 3.519 3.741 5.010
```

Calculated values
**Volume**: 17.24 Å³ per atom

***

Stability summary: most stable y, least stable w.

***

w:
Entry from Alexandria: a geometry-optimized LiLa2ReC structure (PBE).

extended XYZ file:
```
5
Lattice="5.365 0.000 0.000 0.000 5.365 0.000 0.000 0.000 3.999" Properties=species:S:1:pos:R:3 pbc="T T T"
Li 2.683 2.683 1.999
La 2.683 0.000 0.000
La 0.000 2.683 0.000
Re 0.000 0.000 1.999
C 0.000 0.000 0.000
```

Calculated values
**Volume**: 23.02 Å³ per atom

***

x:
Entry from Alexandria: a geometry-optimized LiLa2ReC structure (PBE).

extended XYZ file:
```
5
Lattice="-2.065 -3.643 2.904 2.010 -2.867 -2.167 3.939 0.331 3.216" Properties=species:S:1:pos:R:3 pbc="T T T"
La 1.970 0.165 1.608
Re 1.005 -1.434 -1.084
C 1.942 -3.090 1.976
Li 0.000 0.000 0.000
La -1.032 -1.822 1.452
```

Calculated values
**Volume**: 21.39 Å³ per atom

***

Stability summary: most stable w, least stable x.

***

w:
Entry from Alexandria: a geometry-optimized LiLa2ZnC structure (PBE).

extended XYZ file:
```
5
Lattice="-5.009 0.784 -1.717 1.587 -0.888 -5.034 -0.769 -3.926 0.450" Properties=species:S:1:pos:R:3 pbc="T T T"
Li -2.095 -2.015 -3.151
Zn -0.384 -1.963 0.225
C 0.000 0.000 0.000
La 0.793 -0.444 -2.517
La -2.504 0.392 -0.859
```

Calculated values
**Volume**: 23.07 Å³ per atom

***

x:
Entry from Alexandria: a geometry-optimized LiLa2ZnC structure (PBE).

extended XYZ file:
```
5
Lattice="-3.722 1.309 3.424 -3.603 -2.207 -3.073 0.546 -3.669 1.996" Properties=species:S:1:pos:R:3 pbc="T T T"
La -1.861 0.655 1.712
La -1.801 -1.104 -1.536
Zn -3.390 -2.284 1.173
C 0.000 0.000 0.000
Li 0.273 -1.835 0.998
```

Calculated values
**Volume**: 23.00 Å³ per atom

***

Stability summary: most stable x, least stable w.